1.
Compound: La6Sb3As2P
Source: the Alexandria database
Functional: PBE-GGA
Structure: relaxed

a = 10.0467 Å, b = 10.0467 Å, c = 9.0001 Å
α = 103.48°, β = 103.48°, γ = 25.72°
Fractional positions:
1 La 0.0028 0.0028 0.2369
2 La 0.3301 0.3301 0.4249
3 La 0.3389 0.3389 0.9095
4 La 0.6611 0.6611 0.0905
5 La 0.6699 0.6699 0.5751
6 La 0.9972 0.9972 0.7631
7 Sb 0.1674 0.1674 0.8340
8 Sb 0.5000 0.5000 0.5000
9 Sb 0.8326 0.8326 0.1660
10 As 0.1661 0.1661 0.3328
11 As 0.8339 0.8339 0.6672
12 P 0.5000 0.5000 0.0000

Results
The density is 5.98 Mg/m³. For the uncorrected formation energy, the calculation gives -1629 kJ/mol of formula units.

---

2.
Compound: La6Sb3AsP2
Source: the Alexandria database
Functional: PBE-GGA
Structure: relaxed

a = 10.0110 Å, b = 10.0110 Å, c = 8.9709 Å
α = 103.63°, β = 103.63°, γ = 25.68°
Fractional positions:
1 La 0.0055 0.0055 0.2430
2 La 0.3284 0.3284 0.4286
3 La 0.3360 0.3360 0.9036
4 La 0.6640 0.6640 0.0964
5 La 0.6716 0.6716 0.5714
6 La 0.9945 0.9945 0.7570
7 Sb 0.1658 0.1658 0.8327
8 Sb 0.5000 0.5000 0.5000
9 Sb 0.8342 0.8342 0.1673
10 As 0.5000 0.5000 0.0000
11 P 0.1673 0.1673 0.3341
12 P 0.8327 0.8327 0.6659

Results
The density is 5.87 Mg/m³. For the uncorrected formation energy, the calculation gives -1624 kJ/mol of formula units.

---

3.
Compound: LaAs2PSe
Source: the Alexandria database
Functional: PBE-GGA
Structure: relaxed

a = 4.7723 Å, b = 4.7723 Å, c = 5.1222 Å
α = 90.00°, β = 90.00°, γ = 90.00°
Fractional positions:
1 La 0.0000 0.0000 0.0000
2 As 0.0000 0.5000 0.5000
3 As 0.5000 0.0000 0.5000
4 P 0.5000 0.5000 0.5000
5 Se 0.5000 0.5000 0.0000

Results
The density is 5.67 Mg/m³. For the uncorrected formation energy, the calculation gives -176 kJ/mol of formula units. The energy above the lowest structure with this stoichiometry is 0.000 eV/atom.

---

4.
Compound: La4As2PSe
Source: the Alexandria database
Functional: PBE-GGA
Structure: relaxed

a = 7.4985 Å, b = 4.3366 Å, c = 7.5184 Å
α = 90.00°, β = 109.40°, γ = 90.00°
Fractional positions:
1 La 0.2473 0.0000 0.2423
2 La 0.2522 0.5000 0.7565
3 La 0.7478 0.5000 0.2435
4 La 0.7527 0.0000 0.7577
5 As 0.0000 0.0000 0.5000
6 As 0.0000 0.5000 0.0000
7 P 0.5000 0.0000 0.0000
8 Se 0.5000 0.5000 0.5000

Results
The density is 5.87 Mg/m³. For the uncorrected formation energy, the calculation gives -1334 kJ/mol of formula units.

---

5.
Compound: LaAs2PSe
Source: the Alexandria database
Functional: PBE-GGA
Structure: relaxed

a = 5.9011 Å, b = 5.9011 Å, c = 5.6094 Å
α = 90.00°, β = 90.00°, γ = 90.00°
Fractional positions:
1 La 0.0000 0.0000 0.0000
2 As 0.0000 0.5000 0.0000
3 As 0.5000 0.0000 0.0000
4 P 0.5000 0.5000 0.5000
5 Se 0.0000 0.0000 0.5000

Results
The density is 3.39 Mg/m³. For the uncorrected formation energy, the calculation gives 415 kJ/mol of formula units. The energy above the lowest structure with this stoichiometry is 1.224 eV/atom.

---

6.
Compound: La4AsP2Se
Source: the Alexandria database
Functional: PBE-GGA
Structure: relaxed

a = 7.4527 Å, b = 4.3044 Å, c = 7.4794 Å
α = 90.00°, β = 109.33°, γ = 90.00°
Fractional positions:
1 La 0.2425 0.0000 0.2379
2 La 0.2501 0.5000 0.7587
3 La 0.7499 0.5000 0.2413
4 La 0.7575 0.0000 0.7621
5 As 0.0000 0.0000 0.5000
6 P 0.0000 0.5000 0.0000
7 P 0.5000 0.0000 0.0000
8 Se 0.5000 0.5000 0.5000

Results
The density is 5.66 Mg/m³. For the uncorrected formation energy, the calculation gives -1343 kJ/mol of formula units.